Below is Mn3B7IO13 after structural relaxation, with properties calculated at the PBE+U level.

Geometry as POSCAR:
```
Mn3B7IO13
1.0
0.000 6.222 6.222
6.222 0.000 6.222
6.222 6.222 0.000
Mn B I O
6 14 2 26
direct
0.250 0.250 0.750
0.250 0.750 0.250
0.250 0.750 0.750
0.750 0.250 0.250
0.750 0.250 0.750
0.750 0.750 0.250
0.000 0.000 0.500
0.000 0.500 0.000
0.000 0.500 0.500
0.170 0.170 0.170
0.170 0.170 0.489
0.170 0.489 0.170
0.489 0.170 0.170
0.500 0.000 0.000
0.500 0.000 0.500
0.500 0.500 0.000
0.670 0.670 0.670
0.670 0.670 0.989
0.670 0.989 0.670
0.989 0.670 0.670
0.000 0.000 0.000
0.500 0.500 0.500
0.046 0.499 0.814
0.046 0.641 0.499
0.046 0.814 0.641
0.141 0.314 0.546
0.141 0.546 0.999
0.141 0.999 0.314
0.250 0.250 0.250
0.314 0.141 0.999
0.314 0.546 0.141
0.314 0.999 0.546
0.499 0.046 0.641
0.499 0.641 0.814
0.499 0.814 0.046
0.546 0.141 0.314
0.546 0.314 0.999
0.546 0.999 0.141
0.641 0.046 0.814
0.641 0.499 0.046
0.641 0.814 0.499
0.750 0.750 0.750
0.814 0.046 0.499
0.814 0.499 0.641
0.814 0.641 0.046
0.999 0.141 0.546
0.999 0.314 0.141
0.999 0.546 0.314
```

Values from the calculation:
The value obtained for the final energy is -188.071 eV per formula unit. As for the crystal system: cubic. For the density of states at the Fermi level, the calculation gives 0.000 states/eV per cell. The total magnetic moment is 15.00 μB per formula unit.